[1]
First-principles (GGA-PBE) data for an optimized crystal structure of YHoCoNi, as listed in Alexandria.

Output
ΔH_f (0 K) in eV per atom: -0.259
N(E_F) in states/eV/atom: 0.664
Energy in eV per formula unit: -25.0

Lattice parameters (Å, degrees): 6.7056 6.7056 6.7056 90.00 90.00 90.00
Space group F-43m (No. 216)
Inequivalent atoms, fractional coordinates:
Y1 0.0000 0.0000 0.0000
Ho1 0.0000 0.0000 0.5000
Co1 0.2500 0.2500 0.7500
Ni1 0.2500 0.2500 0.2500

[2]
First-principles (GGA-PBE) data for an optimized crystal structure of YHoCoNi, as listed in Alexandria.

Output
ΔH_f (0 K) in eV per atom: -0.314
N(E_F) in states/eV/atom: 0.762
Energy in eV per formula unit: -25.2

Lattice parameters (Å, degrees): 3.9423 3.8506 10.4460 90.00 90.00 90.00
Space group Amm2 (No. 38)
Inequivalent atoms, fractional coordinates:
Y1 0.0000 0.0000 0.0000
Ho1 0.5000 0.0000 0.7159
Co1 0.5000 0.0000 0.4237
Ni1 0.0000 0.0000 0.2887

[3]
First-principles (GGA-PBE) data for an optimized crystal structure of Ho2Zn3CoNi12, as listed in Alexandria.

Output
ΔH_f (0 K) in eV per atom: 0.121
N(E_F) in states/eV/atom: 1.073
Energy in eV per formula unit: -87.3

Lattice parameters (Å, degrees): 5.9312 5.9312 25.8098 90.00 90.00 120.00
Space group R-3m (No. 166, hexagonal axes)
Inequivalent atoms, fractional coordinates:
Ho1 0.0000 0.0000 0.1500
Zn1 0.0000 0.5000 0.0000
Co1 0.0000 0.0000 0.5000
Ni1 0.0436 0.5218 0.0997
Ni2 0.0711 0.5356 0.6144

What did the third record say?
First-principles (GGA-PBE) data for an optimized crystal structure of Ho2Zn3CoNi12, as listed in Alexandria.

Output
ΔH_f (0 K) in eV per atom: 0.121
N(E_F) in states/eV/atom: 1.073
Energy in eV per formula unit: -87.3

Lattice parameters (Å, degrees): 5.9312 5.9312 25.8098 90.00 90.00 120.00
Space group R-3m (No. 166, hexagonal axes)
Inequivalent atoms, fractional coordinates:
Ho1 0.0000 0.0000 0.1500
Zn1 0.0000 0.5000 0.0000
Co1 0.0000 0.0000 0.5000
Ni1 0.0436 0.5218 0.0997
Ni2 0.0711 0.5356 0.6144

- The lowest N(E_F) belongs to which entry?
  number 1

- Look up the N(E_F) of the first one.
  0.664 states/eV/atom

- What is the formula in the third record?
  Ho2Zn3CoNi12